A plane-wave DFT calculation with PBE-GGA was carried out for a relaxed CaNdLu2 crystal. Values from VASP.

Quantum ESPRESSO input file:
```
&SYSTEM
  ibrav = 0, nat = 4, ntyp = 3
/
ATOMIC_SPECIES
Ca 40.08 Ca.upf
Nd 144.24 Nd.upf
Lu 174.97 Lu.upf
CELL_PARAMETERS angstrom
1.7992 1.0388 11.9168
-1.7992 1.0388 11.9168
0.0000 -2.0775 11.9168
ATOMIC_POSITIONS angstrom
Ca 0.0000 0.0000 0.0000
Nd 0.0000 0.0000 17.8753
Lu 0.0000 0.0000 8.8058
Lu 0.0000 0.0000 26.9447
```

Output
**Formation energy**: 34 kJ/mol of formula units
**Symmetry**: R-3m, No. 166
**Energy above the most stable polymorph in this dataset**: 0 kJ/mol of formula units
**Total moment**: 0.00 μB per cell
**Total energy**: -15.5 eV for the cell shown